## Ca2InW (GGA-PBE)

Data for Ca2InW after structural relaxation.

Lattice parameters (Å, degrees): 6.221 6.221 6.221 145.01 130.32 62.21
Each line ends with the local moment (μB).
Positions (direct):
Ca1 0.019 0.019 0.000  0.01
Ca2 0.732 0.232 0.500  0.01
W1 0.276 0.776 0.500  1.33
In1 0.472 0.472 0.000  -0.02

Results
Total moment (μB/cell): 1.780
Space group: No. 44
Energy relative to the elements (eV per atom): 0.579